[1]
# ScTaIn2Te

Crystalline ScTaIn2Te at its relaxed geometry (PBE-GGA, the Alexandria database).

Properties
**DOS at the Fermi energy**: 6.34 states/eV/cell
**Raw formation energy**: 1.009 eV/atom
**Theoretical density**: 6429 kg/m³
**VASP energy**: -4.352 eV per atom

a b c (Å): 5.5199 5.5199 4.9431
angles (deg): 90.00 90.00 90.00
Space group P4/mmm (No. 123)
One atom of each set of equivalent atoms:
Sc: 0.0000 0.0000 0.0000 (multiplicity 1)
Ta: 0.0000 0.0000 0.5000 (multiplicity 1)
In: 0.0000 0.5000 0.0000 (multiplicity 2)
Te: 0.5000 0.5000 0.5000 (multiplicity 1)



[2]
# Pr2DyTh

Crystalline Pr2DyTh at its relaxed geometry (PBE-GGA, the Alexandria database).

Properties
**DOS at the Fermi energy**: 19.05 states/eV/cell
**Theoretical density**: 8246 kg/m³
**Energy relative to the lowest polymorph listed for this composition**: 0.000 eV/atom
**VASP energy**: -5.358 eV per atom
**ΔH_f (0 K)**: 3.6 kJ/mol of atoms

a b c (Å): 3.6511 3.6511 35.3922
angles (deg): 90.00 90.00 120.00
Space group R3m (No. 160, hexagonal axes)
One atom of each set of equivalent atoms:
Pr: 0.0000 0.0000 0.0000 (multiplicity 3)
Pr: 0.0000 0.0000 0.1687 (multiplicity 3)
Dy: 0.0000 0.0000 0.7508 (multiplicity 3)
Th: 0.0000 0.0000 0.5841 (multiplicity 3)



Question: VASP energy of number 2 (Pr2DyTh)?
Answer: -5.358 eV per atom